DFT (PBE) results for a relaxed structure of UTl3Br2Cl6.

Cell and atoms, written as POSCAR:
```
UTl3Br2Cl6
1.0
6.1135 0.0000 0.3073
0.0000 9.2519 0.0000
-0.4921 -4.6260 8.2422
Cl Br U Tl
6 2 1 3
Direct
0.2679 0.7381 0.8678
0.2632 0.1253 0.2507
0.7321 0.8703 0.1322
0.2679 0.1297 0.8678
0.7321 0.2619 0.1322
0.7368 0.8747 0.7493
0.1946 0.6781 0.3562
0.8054 0.3219 0.6438
0.5000 0.0000 0.0000
0.5000 0.5000 0.5000
0.0000 0.5000 0.0000
0.5000 0.0000 0.5000
```

Properties
magnetization = 0.08 μB per atom
raw formation energy = -1.2640 eV/atom
DOS(E_F) = 0.44 states/eV/f.u.
ρ = 4346 kg/m³

DFT (PBE) results for a relaxed structure of UTl2Br2Cl4.

Cell and atoms, written as POSCAR:
```
UTl2Br2Cl4
1.0
7.6080 0.5618 0.3822
2.1580 7.3081 0.5055
2.1580 3.1535 6.6120
Tl Cl U Br
2 4 1 2
Direct
0.7143 0.2630 0.2630
0.2857 0.7370 0.7370
0.3406 0.1715 0.6766
0.6594 0.3234 0.8285
0.6594 0.8285 0.3234
0.3406 0.6766 0.1715
0.5000 0.0000 0.0000
0.1841 0.2039 0.2039
0.8159 0.7961 0.7961
```

Properties
magnetization = 0.22 μB per atom
raw formation energy = -1.3459 eV/atom
DOS(E_F) = 4.75 states/eV/f.u.
ρ = 4569 kg/m³

DFT (PBE) results for a relaxed structure of UTl2Br4Cl2.

Cell and atoms, written as POSCAR:
```
UTl2Br4Cl2
1.0
7.3623 0.5515 0.3752
2.2114 7.4474 0.2782
2.2114 2.9933 6.8251
Br Cl Tl U
4 2 2 1
Direct
0.3188 0.1709 0.6737
0.3188 0.6737 0.1709
0.6812 0.8291 0.3263
0.6812 0.3263 0.8291
0.1986 0.1898 0.1898
0.8014 0.8102 0.8102
0.7056 0.2727 0.2727
0.2944 0.7273 0.7273
0.5000 0.0000 0.0000
```

Properties
magnetization = 0.22 μB per atom
raw formation energy = -1.2418 eV/atom
DOS(E_F) = 4.84 states/eV/f.u.
ρ = 4833 kg/m³

DFT (PBE) results for a relaxed structure of Tl2VBrCl5.

Cell and atoms, written as POSCAR:
```
Tl2VBrCl5
1.0
-7.0472 0.6875 -0.7777
2.7641 -3.0539 5.8115
4.1162 5.6723 1.2736
Cl Tl V Br
5 2 1 1
Direct
0.0000 0.2340 0.7679
0.4660 0.2340 0.2340
0.0000 0.7679 0.2340
0.5340 0.7679 0.7679
0.0000 0.2318 0.2318
0.5000 0.2517 0.7517
0.5000 0.7517 0.2517
0.0000 0.0038 0.0038
0.0000 0.7572 0.7572
```

Properties
magnetization = 0.11 μB per atom
raw formation energy = -1.0552 eV/atom
DOS(E_F) = 6.47 states/eV/f.u.
ρ = 4728 kg/m³

DFT (PBE) results for a relaxed structure of Tl2VBr2Cl2.

Cell and atoms, written as POSCAR:
```
Tl2VBr2Cl2
1.0
4.0408 0.0000 0.0000
2.0204 7.7426 0.7985
2.0204 3.7636 7.0835
V Br Tl Cl
1 2 2 2
Direct
0.0000 0.0000 0.0000
0.4860 0.7790 0.2489
0.5140 0.2210 0.7511
0.1586 0.3716 0.3111
0.8414 0.6284 0.6889
0.8243 0.2249 0.1265
0.1757 0.7751 0.8735
```

Properties
magnetization = 0.43 μB per atom
raw formation energy = -0.9177 eV/atom
ρ = 5473 kg/m³

DFT (PBE) results for a relaxed structure of TlVBrCl2.

Cell and atoms, written as POSCAR:
```
TlVBrCl2
1.0
-4.2023 0.3937 -5.4450
5.2539 -1.5747 -4.1687
-1.6904 -4.6681 5.3254
Tl Cl V Br
2 4 2 2
Direct
0.7501 0.2501 0.5003
0.2501 0.7501 0.5003
0.8070 0.6929 0.0000
0.1930 0.3070 0.0000
0.6930 0.1929 0.0000
0.3070 0.8070 0.0000
0.0001 0.0001 0.0003
0.5001 0.5001 0.0003
0.2499 0.2499 0.4999
0.7499 0.7499 0.4999
```

Properties
magnetization = 0.60 μB per atom
raw formation energy = -0.9463 eV/atom
DOS(E_F) = 0.79 states/eV/f.u.
ρ = 5252 kg/m³
polymorph energy (0 for the lowest one) = 0 meV/atom

DFT (PBE) results for a relaxed structure of TlVBrCl2.

Cell and atoms, written as POSCAR:
```
TlVBrCl2
1.0
4.9745 0.0000 0.0000
0.0000 4.9745 0.0000
0.0000 0.0000 5.3186
Cl V Br Tl
2 1 1 1
Direct
0.5000 0.0000 0.0000
0.0000 0.5000 0.0000
0.0000 0.0000 0.0000
0.0000 0.0000 0.5000
0.5000 0.5000 0.5000
```

Properties
magnetization = 0.60 μB per atom
raw formation energy = -0.9274 eV/atom
DOS(E_F) = 0.67 states/eV/f.u.
ρ = 5124 kg/m³
polymorph energy (0 for the lowest one) = 19 meV/atom

DFT (PBE) results for a relaxed structure of YTl2Br3Cl3.

Cell and atoms, written as POSCAR:
```
YTl2Br3Cl3
1.0
3.8907 0.0000 0.0000
0.0000 8.6459 0.0000
0.0000 -4.3229 7.4875
Cl Br Tl Y
3 3 2 1
Direct
0.5000 0.0000 0.7786
0.5000 0.2214 0.2214
0.5000 0.7786 0.0000
0.0000 0.0000 0.4143
0.0000 0.4143 0.0000
0.0000 0.5857 0.5857
0.5000 0.6667 0.3333
0.5000 0.3333 0.6667
0.0000 0.0000 0.0000
```

Properties
magnetization = 0.00 μB per atom
raw formation energy = -1.2984 eV/atom
DOS(E_F) = 4.65 states/eV/f.u.
ρ = 5563 kg/m³